DFT (GGA-PBE) results for crystalline Ba2SrMgTl at its relaxed geometry.

Computed properties:
Density of states at the Fermi level ... 1.1033 states/eV per atom
M_tot ... 0.002 μB per formula unit
Calculated density ... 3831 kg/m³
Symmetry ... No. 123
Formation energy ... 0.7 kcal/mol of atoms
Raw total energy ... -1.867 eV/atom

Structure (POSCAR):
```
Ba2SrMgTl
1.0
-5.876 0.586 3.414
3.350 -0.753 5.894
0.713 5.451 0.291
Sr Mg Tl Ba
1 1 1 2
Direct
0.500 0.500 0.500
0.000 0.000 0.500
0.000 0.000 0.000
0.500 0.000 0.000
0.000 0.500 0.000
```